Record 1
Nb2Pd2Ru: relaxed, PBE.

a b c (Å): 7.190 7.190 3.232
angles (deg): 90.00 90.00 90.00
Space group P4/mbm (No. 127)
Asymmetric unit:
Nb 0.178 0.322 0.000 (multiplicity 4)
Pd 0.127 0.627 0.500 (multiplicity 4)
Ru 0.000 0.000 0.500 (multiplicity 2)

Magnetic moment in μB per atom: 0.0000
Offset from the most stable computed form in meV per atom: 0
Calculated formation energy in meV/atom: 29
Uncorrected energy in eV/cell: -79.3

Record 2
Nb2PdRu2: relaxed, PBE.

a b c (Å): 4.2823 4.2823 10.5638
angles (deg): 90.00 90.00 120.00
Space group P6_3/mmc (No. 194)
Asymmetric unit:
Nb 0.3333 0.6667 0.1001 (multiplicity 4)
Pd 0.0000 0.0000 0.2500 (multiplicity 2)
Ru 0.0000 0.0000 0.0000 (multiplicity 2)
Ru 0.3333 0.6667 0.7500 (multiplicity 2)

Magnetic moment in μB per atom: 0.0000
Offset from the most stable computed form in meV per atom: 346
Calculated formation energy in meV/atom: 199
Uncorrected energy in eV/cell: -85.8

Record 3
Nb2SbPdRu: relaxed, PBE.

a b c (Å): 5.023 5.023 4.665
angles (deg): 90.00 90.00 90.00
Space group P4/mmm (No. 123)
Asymmetric unit:
Nb 0.000 0.500 0.000 (multiplicity 2)
Sb 0.000 0.000 0.000 (multiplicity 1)
Pd 0.000 0.000 0.500 (multiplicity 1)
Ru 0.500 0.500 0.500 (multiplicity 1)

Magnetic moment in μB per atom: 0.2397
Uncorrected formation energy in eV per atom: 1.58
Uncorrected energy in eV/cell: -30.8